# Ce2PaCo3, relaxed, DFT GGA-PBE
data_Ce2PaCo3
_symmetry_space_group_name_H-M 'C m c m'
_symmetry_Int_Tables_number 63
_symmetry_space_group_name_Hall '-C 2c 2'
_cell_length_a 13.146
_cell_length_b 6.804
_cell_length_c 5.299
_cell_angle_alpha 90.00
_cell_angle_beta 90.00
_cell_angle_gamma 90.00
loop_
_atom_site_label
_atom_site_type_symbol
_atom_site_fract_x
_atom_site_fract_y
_atom_site_fract_z
_atom_site_occupancy
Ce1 Ce 0.167 0.171 0.250 1
Pa1 Pa 0.000 0.327 0.750 1
Co1 Co 0.000 0.000 0.000 1
Co2 Co 0.156 0.500 0.000 1
# Density of states at the Fermi level in states/eV per cell: 33.1
# Energy of formation in kcal/mol of atoms: -5.5